# PBE KNaZrS3, optimized geometry
data_KNaZrS3
_symmetry_space_group_name_H-M 'C m c m'
_symmetry_Int_Tables_number 63
_symmetry_space_group_name_Hall '-C 2c 2'
_cell_length_a 3.877
_cell_length_b 14.522
_cell_length_c 10.580
_cell_angle_alpha 90.00
_cell_angle_beta 90.00
_cell_angle_gamma 90.00
loop_
_atom_site_label
_atom_site_type_symbol
_atom_site_fract_x
_atom_site_fract_y
_atom_site_fract_z
_atom_site_occupancy
K1 K 0.000 0.206 0.250 1
Na1 Na 0.000 0.082 0.750 1
Zr1 Zr 0.000 0.500 0.000 1
S1 S 0.000 0.121 0.517 1
S2 S 0.000 0.463 0.750 1
# M_tot, μB per cell: 0.0
# Electronic total energy, hartree per atom: -0.190
# ΔE to the lowest computed polymorph, meV per atom: 152